1 | DFT (PBE) results for a relaxed KNaAgP crystal.

Mass density = 3.31 g/cm³
Space-group type = Amm2 (38)

abc: 5.819 5.961 5.961
angles: 102.69 90.00 90.00
Fractional positions:
K 0.000 0.173 0.827
K 0.000 0.827 0.173
Na 0.500 0.543 0.892
Na 0.500 0.892 0.543
Ag 0.253 0.365 0.365
Ag 0.747 0.365 0.365
P 0.000 0.628 0.628
P 0.500 0.096 0.096

2 | DFT (PBE) results for a relaxed KNaAgP crystal.

Mass density = 3.27 g/cm³
Space-group type = P2_1/m (11)

abc: 5.919 5.738 6.157
angles: 90.00 102.22 90.00
Fractional positions:
K 0.042 0.250 0.192
K 0.958 0.750 0.808
Na 0.333 0.750 0.486
Na 0.667 0.250 0.514
Ag 0.500 0.000 0.000
Ag 0.500 0.500 0.000
P 0.258 0.250 0.719
P 0.742 0.750 0.281

Stability, highest: 2

1 | DFT (PBE) results for a relaxed KNaAgSb crystal.

Mass density = 3.98 g/cm³
Space-group type = P2_1/m (11)

abc: 6.105 5.948 6.870
angles: 90.00 102.44 90.00
Fractional positions:
K 0.056 0.250 0.179
K 0.944 0.750 0.821
Na 0.323 0.750 0.499
Na 0.677 0.250 0.501
Ag 0.500 0.000 0.000
Ag 0.500 0.500 0.000
Sb 0.245 0.250 0.705
Sb 0.755 0.750 0.295

2 | DFT (PBE) results for a relaxed KNaAgSb crystal.

Mass density = 3.92 g/cm³
Space-group type = Amm2 (38)

abc: 6.029 6.463 6.463
angles: 101.15 90.00 90.00
Fractional positions:
K 0.000 0.177 0.823
K 0.000 0.823 0.177
Na 0.500 0.526 0.867
Na 0.500 0.867 0.526
Ag 0.250 0.359 0.359
Ag 0.750 0.359 0.359
Sb 0.000 0.636 0.636
Sb 0.500 0.084 0.084

Stability, highest: 1